Pm2TlCdAu4 | GGA-PBE | optimized geometry

energy of formation from the pure elements: -609 meV per atom
space-group type: R-3m, No. 166
total moment: 0.000 μB per atom
VASP energy: -30.76 eV for the cell shown
crystal system: trigonal

```
data_Pm2TlCdAu4
_chemical_formula_sum 'Pm2 Tl1 Cd1 Au4'
_space_group_name_H-M_alt 'P 1'
_space_group_IT_number 1
_cell_length_a 5.0689
_cell_length_b 5.0689
_cell_length_c 8.6881
_cell_angle_alpha 73.04
_cell_angle_beta 73.04
_cell_angle_gamma 60.00
loop_
_space_group_symop_operation_xyz
'x,y,z'
loop_
_atom_site_label
_atom_site_type_symbol
_atom_site_fract_x
_atom_site_fract_y
_atom_site_fract_z
Pm1 Pm 0.7479 0.7479 0.7562
Pm2 Pm 0.2521 0.2521 0.2438
Tl1 Tl 0.0000 0.0000 0.0000
Cd1 Cd 0.5000 0.5000 0.5000
Au1 Au 0.3793 0.3793 0.8620
Au2 Au 0.8721 0.8721 0.3837
Au3 Au 0.1279 0.1279 0.6163
Au4 Au 0.6207 0.6207 0.1380
```